# CeZrAl

CeZrAl after structural relaxation (PBE, Alexandria via LeMat-Bulk).

- distance to the lowest polymorph of the same formula (eV per atom) = 0.069
- space group = No. 129
- total magnetization (μB/cell) = 0.00
- DFT formation energy (eV/atom) = -0.1552

```
CeZrAl
1.0
3.980 0.000 0.000
0.000 3.980 0.000
0.000 0.000 8.571
Ce Zr Al
2 2 2
Direct
0.250 0.750 0.000
0.750 0.250 0.000
0.250 0.250 0.382
0.750 0.750 0.618
0.250 0.250 0.715
0.750 0.750 0.285
```